one) First-principles (GGA-PBE) data for crystalline SrCa4Pr2 at its relaxed geometry, as listed in Alexandria via LeMat-Bulk.

Cell lengths 3.876, 3.876, 22.604 Å; angles 85.08, 85.08, 60.00 degrees
Fractional positions:
Ca  0.384  0.384  0.847
Ca  0.901  0.901  0.297
Ca  0.616  0.616  0.153
Ca  0.099  0.099  0.703
Pr  0.188  0.188  0.437
Pr  0.812  0.812  0.563
Sr  0.000  0.000  0.000

***

two) First-principles (GGA-PBE) data for crystalline SrCa4Pr2 at its relaxed geometry, as listed in Alexandria via LeMat-Bulk.

Cell lengths 6.082, 6.082, 10.000 Å; angles 107.70, 107.70, 90.00 degrees
Fractional positions:
Pr  0.398  0.398  0.796
Pr  0.602  0.602  0.204
Ca  0.500  0.000  0.000
Ca  0.000  0.500  0.000
Ca  0.809  0.809  0.619
Ca  0.191  0.191  0.381
Sr  0.000  0.000  0.000

***

Most stable structure: one)